Record 1
A relaxed LiLa2TiN crystal, computed with PBE-GGA.

The space group is P4/mmm (No. 123) and the conventional cell measures 5.3613, 5.3613 and 4.0089 Å, with angles of 90.00, 90.00 and 90.00 degrees. The asymmetric unit holds Li at (0.0000, 0.0000, 0.0000), La at (0.0000, 0.5000, 0.5000), Ti at (0.5000, 0.5000, 0.0000) and N at (0.5000, 0.5000, 0.5000).

As for the formation energy from raw total energies: -530 meV per atom. The calculation puts the total magnetic moment at 1.207 μB per formula unit. For the density of states at the Fermi level, the calculation gives 5.54 states/eV/cell.

***

Record 2
A relaxed Ga2HgRh2 crystal, computed with PBE-GGA.

The space group is I4/mmm (No. 139) and the conventional cell measures 4.2242, 4.2242 and 9.9477 Å, with angles of 90.00, 90.00 and 90.00 degrees. The asymmetric unit holds Ga at (0.0000, 0.0000, 0.1230), Hg at (0.0000, 0.0000, 0.5000) and Rh at (0.0000, 0.5000, 0.2500).

As for the formation energy: -19.3 kJ per mole of atoms. As for the relative energy among the computed polymorphs: 1.09 eV/f.u. The calculation puts the total magnetic moment at 0.000 μB per formula unit. For the density of states at the Fermi level, the calculation gives 0.80 states/eV/cell.

***

Record 3
A relaxed CrTcSe3 crystal, computed with PBE-GGA.

The space group is Pm-3m (No. 221) and the conventional cell measures 4.7390, 4.7390 and 4.7390 Å, with angles of 90.00, 90.00 and 90.00 degrees. The asymmetric unit holds Cr at (0.0000, 0.0000, 0.0000), Tc at (0.5000, 0.5000, 0.5000) and Se at (0.0000, 0.0000, 0.5000).

As for the formation energy from raw total energies: 833 meV per atom. As for the relative energy among the computed polymorphs: 0.00 eV/f.u. The calculation puts the total magnetic moment at 3.997 μB per formula unit. For the density of states at the Fermi level, the calculation gives 9.59 states/eV/cell.

***

Record 4
A relaxed Pr3Dy crystal, computed with PBE-GGA.

The space group is P6_3/mmc (No. 194) and the conventional cell measures 7.4315, 7.4315 and 5.9262 Å, with angles of 90.00, 90.00 and 120.00 degrees. The asymmetric unit holds Pr at (0.1677, 0.3353, 0.2500) and Dy at (0.3333, 0.6667, 0.7500).

As for the formation energy: 2.8 kJ per mole of atoms. As for the relative energy among the computed polymorphs: 0.06 eV/f.u. The calculation puts the total magnetic moment at 0.000 μB per formula unit. For the density of states at the Fermi level, the calculation gives 13.69 states/eV/cell.

***

Record 5
A relaxed Ho3Te2S2 crystal, computed with PBE-GGA.

The space group is C2/m (No. 12) and the conventional cell measures 14.1892, 4.1942 and 7.0053 Å, with angles of 90.00, 107.01 and 90.00 degrees. The asymmetric unit holds Ho at (0.0000, 0.0000, 0.0000), Ho at (0.2478, 0.5000, 0.2645), Te at (0.1087, 0.5000, 0.8244) and S at (0.1454, 0.0000, 0.3487).

As for the formation energy from raw total energies: -1724 meV per atom. As for the relative energy among the computed polymorphs: 0.00 eV/f.u. The calculation puts the total magnetic moment at 0.000 μB per formula unit. For the density of states at the Fermi level, the calculation gives 3.78 states/eV/cell.

***

Record 6
A relaxed YSb2Au crystal, computed with PBE-GGA.

The space group is Amm2 (No. 38) and the conventional cell measures 4.6278, 3.3937 and 13.6935 Å, with angles of 90.00, 90.00 and 90.00 degrees. The asymmetric unit holds Y at (0.0000, 0.0000, 0.0000), Sb at (0.0000, 0.0000, 0.7161), Sb at (0.5000, 0.0000, 0.3994) and Au at (0.5000, 0.0000, 0.6065).

As for the formation energy from raw total energies: -486 meV per atom. The calculation puts the total magnetic moment at 0.000 μB per formula unit. For the density of states at the Fermi level, the calculation gives 4.20 states/eV/cell.

***

Record 7
A relaxed KTePt2 crystal, computed with PBE-GGA.

The space group is R-3m (No. 166, hexagonal axes) and the conventional cell measures 4.6982, 4.6982 and 17.5151 Å, with angles of 90.00, 90.00 and 120.00 degrees. The asymmetric unit holds K at (0.0000, 0.0000, 0.0000), Te at (0.0000, 0.0000, 0.5000) and Pt at (0.0000, 0.0000, 0.1868).

As for the formation energy from raw total energies: -285 meV per atom. The calculation puts the total magnetic moment at 0.000 μB per formula unit. For the density of states at the Fermi level, the calculation gives 9.67 states/eV/cell.

***

Record 8
A relaxed Li2B2PbO6 crystal, computed with PBE-GGA.

The space group is P-3 (No. 147) and the conventional cell measures 4.9979, 4.9979 and 6.1041 Å, with angles of 90.00, 90.00 and 120.00 degrees. The asymmetric unit holds Li at (0.3333, 0.6667, 0.3009), B at (0.3333, 0.6667, 0.7940), Pb at (0.0000, 0.0000, 0.0000) and O at (0.0587, 0.6715, 0.7878).

As for the formation energy from raw total energies: -1925 meV per atom. The calculation puts the total magnetic moment at 0.000 μB per formula unit. For the density of states at the Fermi level, the calculation gives 0.00 states/eV/cell.

***

Record 9
A relaxed ZrRe5 crystal, computed with PBE-GGA.

The space group is P-62m (No. 189) and the conventional cell measures 4.8799, 4.8799 and 4.6458 Å, with angles of 90.00, 90.00 and 120.00 degrees. The asymmetric unit holds Zr at (0.0000, 0.0000, 0.0000), Re at (0.0000, 0.6533, 0.5000) and Re at (0.3333, 0.6667, 0.0000).

As for the formation energy: 19.5 kJ per mole of atoms. As for the relative energy among the computed polymorphs: 0.83 eV/f.u. The calculation puts the total magnetic moment at 0.000 μB per formula unit. For the density of states at the Fermi level, the calculation gives 5.60 states/eV/cell.

***

Record 10
A relaxed Ba2NaCd6In crystal, computed with PBE-GGA.

The space group is Fm-3m (No. 225) and the conventional cell measures 11.1651, 11.1651 and 11.1651 Å, with angles of 90.00, 90.00 and 90.00 degrees. The asymmetric unit holds Ba at (0.2500, 0.2500, 0.2500), Na at (0.0000, 0.0000, 0.0000), Cd at (0.0000, 0.0000, 0.2467) and In at (0.0000, 0.0000, 0.5000).

As for the formation energy: 1.4 kJ per mole of atoms. The calculation puts the total magnetic moment at 0.000 μB per formula unit. For the density of states at the Fermi level, the calculation gives 25.74 states/eV/cell.

***

Record 11
A relaxed KZr3Br crystal, computed with PBE-GGA.

The space group is Pm-3m (No. 221) and the conventional cell measures 5.1283, 5.1283 and 5.1283 Å, with angles of 90.00, 90.00 and 90.00 degrees. The asymmetric unit holds K at (0.0000, 0.0000, 0.0000), Zr at (0.0000, 0.0000, 0.5000) and Br at (0.5000, 0.5000, 0.5000).

As for the formation energy from raw total energies: 2019 meV per atom. As for the relative energy among the computed polymorphs: 6.65 eV/f.u. The calculation puts the total magnetic moment at 0.000 μB per formula unit. For the density of states at the Fermi level, the calculation gives 7.84 states/eV/cell.

***

Record 12
A relaxed Y3MgTl crystal, computed with PBE-GGA.

The space group is Cmcm (No. 63) and the conventional cell measures 5.1565, 21.4168 and 5.1547 Å, with angles of 90.00, 90.00 and 90.00 degrees. The asymmetric unit holds Y at (0.0000, 0.0560, 0.2500), Y at (0.0000, 0.2494, 0.2500), Y at (0.0000, 0.4402, 0.2500), Mg at (0.0000, 0.1531, 0.7500) and Tl at (0.0000, 0.3436, 0.7500).

As for the formation energy: -20.3 kJ per mole of atoms. As for the relative energy among the computed polymorphs: 0.00 eV/f.u. The calculation puts the total magnetic moment at 0.304 μB per formula unit. For the density of states at the Fermi level, the calculation gives 21.66 states/eV/cell.